# Fe3ReB PBE-GGA optimized geometry
data_Fe3ReB
_chemical_formula_sum 'Fe3 Re1 B1'
_space_group_name_H-M_alt 'P m -3 m'
_space_group_IT_number 221
_space_group_name_Hall '-P 4 2 3'
_cell_length_a 4.475
_cell_length_b 4.475
_cell_length_c 4.475
_cell_angle_alpha 90.00
_cell_angle_beta 90.00
_cell_angle_gamma 90.00
loop_
_atom_site_label
_atom_site_type_symbol
_atom_site_fract_x
_atom_site_fract_y
_atom_site_fract_z
Fe1 Fe 0.000 0.000 0.500
Re1 Re 0.000 0.000 0.000
B1 B 0.500 0.500 0.500
# **ΔH_f (0 K)**: 2.30 eV/atom
# **V**: 89.6 Å³ per cell
# **Total energy**: -6.60 eV per atom



# FeRe3B PBE-GGA optimized geometry
data_FeRe3B
_chemical_formula_sum 'Fe1 Re3 B1'
_space_group_name_H-M_alt 'P m -3 m'
_space_group_IT_number 221
_space_group_name_Hall '-P 4 2 3'
_cell_length_a 4.052
_cell_length_b 4.052
_cell_length_c 4.052
_cell_angle_alpha 90.00
_cell_angle_beta 90.00
_cell_angle_gamma 90.00
loop_
_atom_site_label
_atom_site_type_symbol
_atom_site_fract_x
_atom_site_fract_y
_atom_site_fract_z
Fe1 Fe 0.000 0.000 0.000
Re1 Re 0.000 0.500 0.500
B1 B 0.500 0.500 0.500
# **ΔH_f (0 K)**: 0.43 eV/atom
# **V**: 66.5 Å³ per cell
# **Total energy**: -10.07 eV per atom



# FeRe3B PBE-GGA optimized geometry
data_FeRe3B
_chemical_formula_sum 'Fe4 Re12 B4'
_space_group_name_H-M_alt 'C 1 2/m 1'
_space_group_IT_number 12
_space_group_name_Hall '-C 2y'
_cell_length_a 8.848
_cell_length_b 4.204
_cell_length_c 7.454
_cell_angle_alpha 90.00
_cell_angle_beta 113.48
_cell_angle_gamma 90.00
loop_
_atom_site_label
_atom_site_type_symbol
_atom_site_fract_x
_atom_site_fract_y
_atom_site_fract_z
Fe1 Fe 0.104 0.000 0.429
Re1 Re 0.122 0.000 0.933
Re2 Re 0.138 0.500 0.660
Re3 Re 0.147 0.500 0.243
B1 B 0.113 0.500 0.936
# **ΔH_f (0 K)**: 0.08 eV/atom
# **V**: 254.3 Å³ per cell
# **Total energy**: -10.42 eV per atom



# FeRe2B PBE-GGA optimized geometry
data_FeRe2B
_chemical_formula_sum 'Fe8 Re16 B8'
_space_group_name_H-M_alt 'F m m m'
_space_group_IT_number 69
_space_group_name_Hall '-F 2 2'
_cell_length_a 6.821
_cell_length_b 7.280
_cell_length_c 7.584
_cell_angle_alpha 90.00
_cell_angle_beta 90.00
_cell_angle_gamma 90.00
loop_
_atom_site_label
_atom_site_type_symbol
_atom_site_fract_x
_atom_site_fract_y
_atom_site_fract_z
Fe1 Fe 0.000 0.172 0.000
Re1 Re 0.179 0.000 0.500
Re2 Re 0.250 0.250 0.250
B1 B 0.000 0.000 0.232
# **ΔH_f (0 K)**: 0.21 eV/atom
# **V**: 376.6 Å³ per cell
# **Total energy**: -9.80 eV per atom



# Fe6ReB2 PBE-GGA optimized geometry
data_Fe6ReB2
_chemical_formula_sum 'Fe24 Re4 B8'
_space_group_name_H-M_alt 'I m m m'
_space_group_IT_number 71
_space_group_name_Hall '-I 2 2'
_cell_length_a 6.850
_cell_length_b 6.980
_cell_length_c 7.713
_cell_angle_alpha 90.00
_cell_angle_beta 90.00
_cell_angle_gamma 90.00
loop_
_atom_site_label
_atom_site_type_symbol
_atom_site_fract_x
_atom_site_fract_y
_atom_site_fract_z
Fe1 Fe 0.000 0.215 0.245
Fe2 Fe 0.198 0.500 0.179
Fe3 Fe 0.201 0.308 0.500
Re1 Re 0.000 0.000 0.000
Re2 Re 0.000 0.000 0.500
B1 B 0.000 0.353 0.000
B2 B 0.000 0.500 0.383
# **ΔH_f (0 K)**: -0.06 eV/atom
# **V**: 368.8 Å³ per cell
# **Total energy**: -8.57 eV per atom



# Fe2ReBSb PBE-GGA optimized geometry
data_Fe2ReBSb
_chemical_formula_sum 'Fe2 Re1 B1 Sb1'
_space_group_name_H-M_alt 'P 4/m m m'
_space_group_IT_number 123
_space_group_name_Hall '-P 4 2'
_cell_length_a 4.516
_cell_length_b 4.516
_cell_length_c 4.132
_cell_angle_alpha 90.00
_cell_angle_beta 90.00
_cell_angle_gamma 90.00
loop_
_atom_site_label
_atom_site_type_symbol
_atom_site_fract_x
_atom_site_fract_y
_atom_site_fract_z
Fe1 Fe 0.000 0.500 0.000
Re1 Re 0.000 0.000 0.000
B1 B 0.000 0.000 0.500
Sb1 Sb 0.500 0.500 0.500
# **Energy relative to the elements, uncorrected**: 1.38 eV per atom
# **V**: 84.3 Å³ per cell
# **Total energy**: -6.65 eV per atom



# Sc2Fe5ReB2 PBE-GGA optimized geometry
data_Sc2Fe5ReB2
_chemical_formula_sum 'Sc4 Fe10 Re2 B4'
_space_group_name_H-M_alt 'P 4/m b m'
_space_group_IT_number 127
_space_group_name_Hall '-P 4 2ab'
_cell_length_a 8.880
_cell_length_b 8.880
_cell_length_c 2.898
_cell_angle_alpha 90.00
_cell_angle_beta 90.00
_cell_angle_gamma 90.00
loop_
_atom_site_label
_atom_site_type_symbol
_atom_site_fract_x
_atom_site_fract_y
_atom_site_fract_z
Sc1 Sc 0.175 0.325 0.000
Fe1 Fe 0.000 0.500 0.500
Fe2 Fe 0.068 0.781 0.500
Re1 Re 0.000 0.000 0.000
B1 B 0.118 0.618 0.000
# **ΔH_f (0 K)**: -0.34 eV/atom
# **V**: 228.5 Å³ per cell
# **Total energy**: -8.42 eV per atom



# TaFe2ReB PBE-GGA optimized geometry
data_TaFe2ReB
_chemical_formula_sum 'Ta1 Fe2 Re1 B1'
_space_group_name_H-M_alt 'P 4/m m m'
_space_group_IT_number 123
_space_group_name_Hall '-P 4 2'
_cell_length_a 4.331
_cell_length_b 4.331
_cell_length_c 4.918
_cell_angle_alpha 90.00
_cell_angle_beta 90.00
_cell_angle_gamma 90.00
loop_
_atom_site_label
_atom_site_type_symbol
_atom_site_fract_x
_atom_site_fract_y
_atom_site_fract_z
Ta1 Ta 0.000 0.000 0.000
Fe1 Fe 0.000 0.500 0.500
Re1 Re 0.000 0.000 0.500
B1 B 0.500 0.500 0.000
# **ΔH_f (0 K)**: 2.19 eV/atom
# **V**: 92.3 Å³ per cell
# **Total energy**: -7.39 eV per atom